Computed, not measured: a relaxed K2AlSi crystal at the PBE-GGA level of DFT.

a b c (Å): 3.6353 3.6353 10.1413
angles (deg): 90.00 90.00 90.00
Last column: nearest neighbours and their distance in Å.
Positions (direct):
1 K 0.0000 0.0000 0.9220  1 Si 3.44, 4 K 3.64, 4 Al 3.68
2 K 0.5000 0.5000 0.3331  1 Al 3.34, 4 Si 3.61, 4 K 3.64
3 Si 0.0000 0.0000 0.5825  4 Al 2.70
4 Al 0.5000 0.5000 0.6624  4 Si 2.70

Results
- V (Å³/cell) = 134
- uncorrected energy (eV/atom) = -2.600
- spin magnetization (Bohr magnetons per cell) = 0.0
- formation energy (no corrections) (meV/atom) = 240

***

Computed, not measured: a relaxed K4AlSi crystal at the PBE-GGA level of DFT.

a b c (Å): 6.9061 6.9061 6.9061
angles (deg): 60.00 60.00 60.00
Last column: nearest neighbours and their distance in Å.
Positions (direct):
1 K 0.8725 0.3758 0.3758  6 K 3.43-3.48
2 K 0.3758 0.3758 0.8725  6 K 3.43-3.48
3 K 0.3758 0.8725 0.3758  6 K 3.43-3.48
4 K 0.3758 0.3758 0.3758  6 K 3.43-3.48
5 Al 0.0000 0.0000 0.0000  12 K 4.05, 4 Si 4.23
6 Si 0.7500 0.7500 0.7500  12 K 4.05, 4 Al 4.23

Results
- V (Å³/cell) = 233
- uncorrected energy (eV/atom) = -1.554
- spin magnetization (Bohr magnetons per cell) = 0.0
- formation energy (no corrections) (meV/atom) = 706

***

Computed, not measured: a relaxed KAlSi crystal at the PBE-GGA level of DFT.

a b c (Å): 4.1807 6.6825 7.4556
angles (deg): 98.69 106.25 107.55
Last column: nearest neighbours and their distance in Å.
Positions (direct):
1 K 0.7659 0.8063 0.0449  5 Si 3.41-3.71, 1 Al 3.69
2 K 0.2115 0.3976 0.3668  5 Si 3.41-3.71, 1 Al 3.69
3 Si 0.5362 0.9485 0.4477  3 Al 2.46-2.58
4 Si 0.4412 0.2555 0.9640  3 Al 2.46-2.58
5 Al 0.1402 0.9731 0.6327  3 Si 2.46-2.58, 2 Al 2.70
6 Al 0.8372 0.2309 0.7791  3 Si 2.46-2.58, 2 Al 2.70

Results
- V (Å³/cell) = 184
- uncorrected energy (eV/atom) = -3.353
- spin magnetization (Bohr magnetons per cell) = 0.0
- formation energy (no corrections) (meV/atom) = 68

***

Computed, not measured: a relaxed KAl2Si crystal at the PBE-GGA level of DFT.

a b c (Å): 7.2198 4.5223 7.2198
angles (deg): 112.58 148.12 81.77
Last column: nearest neighbours and their distance in Å.
Positions (direct):
1 K 0.4914 0.4932 0.0018  3 Si 3.51-3.63, 5 Al 3.57-3.80
2 Si 0.7230 0.3358 0.6128  5 Al 2.56-2.67
3 Al 0.0100 0.9943 0.9843  3 Si 2.56-2.59, 3 Al 2.65-2.74
4 Al 0.2756 0.6766 0.4011  3 Al 2.65-2.74, 2 Si 2.67

Results
- V (Å³/cell) = 107
- uncorrected energy (eV/atom) = -3.327
- spin magnetization (Bohr magnetons per cell) = 0.0
- formation energy (no corrections) (meV/atom) = 174